Material: Ba2SiGe2Au
Method: DFT, PBE
State: relaxed

a b c (Å): 9.1033 8.7849 6.6605
angles (deg): 70.71 65.62 43.67
Last column: nearest neighbours and their distance in Å.
Fractional positions:
Au1 0.6720 0.6720 0.3280  1 Si 2.49, 2 Ge 2.62
Au2 0.3280 0.3280 0.6720  1 Si 2.49, 2 Ge 2.62
Ba1 0.2478 0.7522 0.2478  8 Ge 3.52-3.61, 2 Si 3.52, 2 Au 3.64
Ba2 0.2500 0.2500 0.2500  4 Au 3.54, 4 Ge 3.56, 4 Si 3.58
Ba3 0.7500 0.7500 0.7500  4 Au 3.54, 4 Ge 3.56, 4 Si 3.58
Ba4 0.7522 0.2478 0.7522  8 Ge 3.52-3.61, 2 Si 3.52, 2 Au 3.64
Ge1 0.8392 0.3281 0.1608  1 Si 2.47, 1 Ge 2.54, 1 Au 2.62
Ge2 0.6719 0.1608 0.3281  1 Si 2.47, 1 Ge 2.54, 1 Au 2.62
Ge3 0.3281 0.8392 0.6719  1 Si 2.47, 1 Ge 2.54, 1 Au 2.62
Ge4 0.1608 0.6719 0.8392  1 Si 2.47, 1 Ge 2.54, 1 Au 2.62
Si1 0.8357 0.8357 0.1643  2 Ge 2.47, 1 Au 2.49
Si2 0.1643 0.1643 0.8357  2 Ge 2.47, 1 Au 2.49

Calculated values
SG: Fmmm, No. 69
calculated total energy: -4.235 eV/atom

---

Material: CdSbIr2
Method: DFT, PBE
State: relaxed

a b c (Å): 4.6602 4.6602 4.6602
angles (deg): 60.00 60.00 60.00
Last column: nearest neighbours and their distance in Å.
Fractional positions:
Cd1 0.2500 0.2500 0.2500  4 Ir 2.85, 4 Sb 2.85
Ir1 0.0000 0.0000 0.0000  4 Cd 2.85, 4 Ir 2.85
Ir2 0.7500 0.7500 0.7500  4 Sb 2.85, 4 Ir 2.85
Sb1 0.5000 0.5000 0.5000  4 Ir 2.85, 4 Cd 2.85

Calculated values
SG: F-43m, No. 216
size of the total moment: 0.01 μB/cell
calculated total energy: -5.226 eV/atom

---

Material: GdEr2Ga3FeGe2
Method: DFT, PBE
State: relaxed

a b c (Å): 4.1363 6.9650 6.9650
angles (deg): 120.29 90.00 90.00
Last column: nearest neighbours and their distance in Å.
Fractional positions:
Er1 0.0000 0.9994 0.3990  1 Fe 2.77, 4 Ge 2.95-2.96
Er2 0.0000 0.3990 0.9994  1 Fe 2.77, 4 Ge 2.95-2.96
Fe1 0.0000 0.0031 0.0031  6 Ga 2.58-2.61, 2 Er 2.77, 1 Gd 2.81
Ga1 0.5000 0.7742 0.0015  2 Fe 2.61, 2 Ga 2.72-2.75, 2 Ge 2.74-2.77
Ga2 0.5000 0.2259 0.2259  2 Fe 2.58, 2 Ga 2.72, 2 Ge 2.79
Ga3 0.5000 0.0015 0.7742  2 Fe 2.61, 2 Ga 2.72-2.75, 2 Ge 2.74-2.77
Gd1 0.0000 0.5977 0.5977  1 Fe 2.81, 4 Ge 2.98
Ge1 0.5000 0.6683 0.3309  3 Ga 2.74-2.79, 4 Er 2.95-2.96, 2 Gd 2.98
Ge2 0.5000 0.3309 0.6683  3 Ga 2.74-2.79, 4 Er 2.95-2.96, 2 Gd 2.98

Calculated values
SG: Amm2, No. 38
size of the total moment: 0.01 μB/cell
calculated total energy: -5.132 eV/atom